# 1
# Ho2AlH, optimized geometry, DFT PBE
# offset from the most stable computed form	0.02	eV per formula unit
# total magnetization	0.0	Bohr magnetons per cell
# uncorrected energy	-4.311	eV per atom
data_Ho2AlH
_chemical_formula_sum 'Ho2 Al1 H1'
_space_group_name_H-M_alt 'P m m m'
_space_group_IT_number 47
_space_group_name_Hall '-P 2 2'
_cell_length_a 3.273
_cell_length_b 3.496
_cell_length_c 7.203
_cell_angle_alpha 90.00
_cell_angle_beta 90.00
_cell_angle_gamma 90.00
loop_
_atom_site_label
_atom_site_type_symbol
_atom_site_fract_x
_atom_site_fract_y
_atom_site_fract_z
Ho1 Ho 0.000 0.000 0.234
Al1 Al 0.500 0.500 0.500
H1 H 0.500 0.000 0.000

=====

# 2
# SbC3O, optimized geometry, DFT PBE
# uncorrected formation energy	2.82	eV per atom
# total magnetization	0.0	Bohr magnetons per cell
# uncorrected energy	-4.527	eV per atom
data_SbC3O
_chemical_formula_sum 'Sb1 C3 O1'
_space_group_name_H-M_alt 'P m -3 m'
_space_group_IT_number 221
_space_group_name_Hall '-P 4 2 3'
_cell_length_a 3.757
_cell_length_b 3.757
_cell_length_c 3.757
_cell_angle_alpha 90.00
_cell_angle_beta 90.00
_cell_angle_gamma 90.00
loop_
_atom_site_label
_atom_site_type_symbol
_atom_site_fract_x
_atom_site_fract_y
_atom_site_fract_z
Sb1 Sb 0.000 0.000 0.000
C1 C 0.000 0.500 0.500
O1 O 0.500 0.500 0.500

=====

# 3
# TiSbTeI2, optimized geometry, DFT PBE
# offset from the most stable computed form	2.69	eV per formula unit
# uncorrected formation energy	0.60	eV per atom
# total magnetization	2.6	Bohr magnetons per cell
# uncorrected energy	-3.049	eV per atom
data_TiSbTeI2
_chemical_formula_sum 'Ti1 Sb1 Te1 I2'
_space_group_name_H-M_alt 'P 4/m m m'
_space_group_IT_number 123
_space_group_name_Hall '-P 4 2'
_cell_length_a 5.826
_cell_length_b 5.826
_cell_length_c 5.920
_cell_angle_alpha 90.00
_cell_angle_beta 90.00
_cell_angle_gamma 90.00
loop_
_atom_site_label
_atom_site_type_symbol
_atom_site_fract_x
_atom_site_fract_y
_atom_site_fract_z
Ti1 Ti 0.000 0.000 0.000
Sb1 Sb 0.500 0.500 0.500
Te1 Te 0.500 0.500 0.000
I1 I 0.000 0.500 0.500

=====

# 4
# Mo3RuS, optimized geometry, DFT PBE
# offset from the most stable computed form	5.56	eV per formula unit
# uncorrected formation energy	1.81	eV per atom
# total magnetization	0.0	Bohr magnetons per cell
# uncorrected energy	-7.374	eV per atom
data_Mo3RuS
_chemical_formula_sum 'Mo3 Ru1 S1'
_space_group_name_H-M_alt 'P m -3 m'
_space_group_IT_number 221
_space_group_name_Hall '-P 4 2 3'
_cell_length_a 4.703
_cell_length_b 4.703
_cell_length_c 4.703
_cell_angle_alpha 90.00
_cell_angle_beta 90.00
_cell_angle_gamma 90.00
loop_
_atom_site_label
_atom_site_type_symbol
_atom_site_fract_x
_atom_site_fract_y
_atom_site_fract_z
Mo1 Mo 0.000 0.000 0.500
Ru1 Ru 0.000 0.000 0.000
S1 S 0.500 0.500 0.500